Density functional theory data (PBE) for crystalline NdTl2CuBr6 at its relaxed geometry.

Computed properties:
Formation energy (no corrections): -1.09 eV/atom
SG: C2/m (12)
Density: 5.04 g/cm3
Uncorrected energy: -34.52 eV per formula unit

Structure (POSCAR):
```
NdTl2CuBr6
1.0
7.4205 -3.7992 0.0000
7.4205 3.7992 0.0000
-2.7389 0.0000 6.4053
Nd Tl Cu Br
1 2 1 6
Direct
0.0000 0.0000 0.0000
0.2552 0.2552 0.8075
0.7448 0.7448 0.1925
0.5000 0.5000 0.5000
0.1980 0.6665 0.2165
0.1996 0.1996 0.3028
0.3335 0.8020 0.7835
0.6665 0.1980 0.2165
0.8004 0.8004 0.6972
0.8020 0.3335 0.7835
```

=====

Density functional theory data (PBE) for crystalline Cu2NiBr at its relaxed geometry.

Computed properties:
Formation energy (no corrections): 0.49 eV/atom
Energy relative to the lowest polymorph listed for this composition: 244 meV/atom
SG: C2/m (12)
Density: 7.63 g/cm3
Uncorrected energy: -13.69 eV per formula unit

Structure (POSCAR):
```
Cu2NiBr
1.0
5.0402 0.0000 0.0000
0.0000 6.8720 0.0000
-0.0128 0.0000 3.3400
Cu Ni Br
4 2 2
Direct
0.2500 0.2500 0.0000
0.2500 0.7500 0.0000
0.7500 0.2500 0.0000
0.7500 0.7500 0.0000
0.0000 0.0000 0.5000
0.5000 0.5000 0.5000
0.0000 0.5000 0.5000
0.5000 0.0000 0.5000
```

=====

Density functional theory data (PBE) for crystalline Cu2NiBr6 at its relaxed geometry.

Computed properties:
Formation energy (no corrections): -0.26 eV/atom
Energy relative to the lowest polymorph listed for this composition: 0 meV/atom
SG: P-31m (162)
Density: 4.68 g/cm3
Uncorrected energy: -26.34 eV per formula unit

Structure (POSCAR):
```
Cu2NiBr6
1.0
6.4337 0.0000 0.0000
-3.2168 5.5717 0.0000
0.0000 0.0000 6.5902
Cu Ni Br
2 1 6
Direct
0.3333 0.6667 0.0000
0.6667 0.3333 0.0000
0.0000 0.0000 0.0000
0.0000 0.3253 0.2168
0.0000 0.6747 0.7832
0.3253 0.0000 0.2168
0.3253 0.3253 0.7832
0.6747 0.0000 0.7832
0.6747 0.6747 0.2168
```

=====

Density functional theory data (PBE) for crystalline Cu2NiBr at its relaxed geometry.

Computed properties:
Formation energy (no corrections): 0.34 eV/atom
Energy relative to the lowest polymorph listed for this composition: 93 meV/atom
SG: P4/mmm (123)
Density: 7.42 g/cm3
Uncorrected energy: -14.29 eV per formula unit

Structure (POSCAR):
```
Cu2NiBr
1.0
3.2302 0.0000 0.0000
0.0000 3.2302 0.0000
0.0000 0.0000 5.6972
Cu Ni Br
2 1 1
Direct
0.0000 0.0000 0.2090
0.0000 0.0000 0.7910
0.5000 0.5000 0.0000
0.5000 0.5000 0.5000
```

=====

Density functional theory data (PBE) for crystalline Cu2NiBr at its relaxed geometry.

Computed properties:
Formation energy (no corrections): 0.63 eV/atom
Energy relative to the lowest polymorph listed for this composition: 385 meV/atom
SG: Fm-3m (225)
Density: 7.50 g/cm3
Uncorrected energy: -13.12 eV per formula unit

Structure (POSCAR):
```
Cu2NiBr
1.0
6.1734 0.0000 0.0000
0.0000 6.1734 0.0000
0.0000 0.0000 6.1734
Cu Ni Br
8 4 4
Direct
0.2500 0.2500 0.2500
0.2500 0.2500 0.7500
0.2500 0.7500 0.2500
0.2500 0.7500 0.7500
0.7500 0.2500 0.2500
0.7500 0.2500 0.7500
0.7500 0.7500 0.2500
0.7500 0.7500 0.7500
0.0000 0.0000 0.0000
0.0000 0.5000 0.5000
0.5000 0.0000 0.5000
0.5000 0.5000 0.0000
0.0000 0.0000 0.5000
0.0000 0.5000 0.0000
0.5000 0.0000 0.0000
0.5000 0.5000 0.5000
```

=====

Density functional theory data (PBE) for crystalline Cu2NiBr at its relaxed geometry.

Computed properties:
Formation energy (no corrections): 0.32 eV/atom
Energy relative to the lowest polymorph listed for this composition: 70 meV/atom
SG: Imm2 (44)
Density: 6.72 g/cm3
Uncorrected energy: -14.38 eV per formula unit

Structure (POSCAR):
```
Cu2NiBr
1.0
2.9106 0.0000 0.0000
0.0000 3.8785 0.0000
0.0000 0.0000 11.6231
Cu Ni Br
4 2 2
Direct
0.0000 0.0000 0.0000
0.0000 0.5000 0.1244
0.5000 0.0000 0.6244
0.5000 0.5000 0.5000
0.0000 0.5000 0.6767
0.5000 0.0000 0.1767
0.0000 0.0000 0.3454
0.5000 0.5000 0.8454
```

=====

Density functional theory data (PBE) for crystalline Cu2NiBr at its relaxed geometry.

Computed properties:
Formation energy (no corrections): 0.25 eV/atom
Energy relative to the lowest polymorph listed for this composition: 0 meV/atom
SG: Pm (6)
Density: 6.86 g/cm3
Uncorrected energy: -14.66 eV per formula unit

Structure (POSCAR):
```
Cu2NiBr
1.0
3.3112 0.0000 0.0000
0.0000 2.9796 0.0000
-0.0055 0.0000 6.5168
Cu Ni Br
2 1 1
Direct
0.0000 0.0000 0.0000
0.5000 0.5000 0.1937
0.0023 0.0000 0.3731
0.9744 0.5000 0.6693
```

=====

Density functional theory data (PBE) for crystalline Cu2NiBr6 at its relaxed geometry.

Computed properties:
Formation energy (no corrections): -0.23 eV/atom
Energy relative to the lowest polymorph listed for this composition: 28 meV/atom
SG: C2/c (15)
Density: 4.81 g/cm3
Uncorrected energy: -26.09 eV per formula unit

Structure (POSCAR):
```
Cu2NiBr6
1.0
6.1546 -5.5904 0.0000
6.1546 5.5904 0.0000
-0.9986 0.0000 6.6699
Cu Ni Br
4 2 12
Direct
0.0957 0.2720 0.3223
0.2720 0.0957 0.8223
0.7280 0.9043 0.1777
0.9043 0.7280 0.6777
0.4129 0.5871 0.7500
0.5871 0.4129 0.2500
0.0374 0.2120 0.6411
0.1407 0.6194 0.8682
0.2120 0.0374 0.1411
0.3147 0.4628 0.3902
0.3806 0.8592 0.6318
0.4628 0.3147 0.8902
0.5372 0.6853 0.1098
0.6194 0.1407 0.3682
0.6853 0.5372 0.6098
0.7880 0.9626 0.8589
0.8592 0.3806 0.1318
0.9626 0.7880 0.3589
```